# 1
Here is a relaxed structure of RbIn4Sb3 from Alexandria. Energies are from PBE.

Results
As for the total energy: -25.096 eV/cell. As for the uncorrected formation energy: -0.1009 eV per atom. Its density of states at the Fermi level is 0.275 states/eV/atom.

Cell and atoms, written as POSCAR:
```
RbIn4Sb3
1.0
4.9389 0.0000 0.0000
0.0000 4.9389 0.0000
0.0000 0.0000 11.1491
Rb In Sb
1 4 3
direct
0.0000 0.0000 0.0000
0.0000 0.5000 0.3161
0.0000 0.5000 0.6839
0.5000 0.0000 0.3161
0.5000 0.0000 0.6839
0.0000 0.0000 0.5000
0.5000 0.5000 0.1441
0.5000 0.5000 0.8559
```

***

# 2
Here is a relaxed structure of Rb2InSb2 from Alexandria. Energies are from PBE.

Results
As for the total energy: -29.321 eV/cell. As for the energy above the most stable polymorph in this dataset: 0 meV per atom. As for the uncorrected formation energy: -0.3484 eV per atom. Its density of states at the Fermi level is 0.287 states/eV/atom.

Cell and atoms, written as POSCAR:
```
Rb2InSb2
1.0
7.4306 -2.5422 0.0000
7.4306 2.5422 0.0000
-6.1981 0.0000 10.6052
Rb In Sb
4 2 4
direct
0.0109 0.0109 0.1667
0.1742 0.1742 0.5930
0.8258 0.8258 0.4070
0.9891 0.9891 0.8333
0.2982 0.2982 0.1420
0.7018 0.7018 0.8580
0.3298 0.3298 0.9223
0.4945 0.4945 0.6158
0.5055 0.5055 0.3842
0.6702 0.6702 0.0777
```

***

# 3
Here is a relaxed structure of RbIn3Sb3 from Alexandria. Energies are from PBE.

Results
As for the total energy: -45.149 eV/cell. As for the energy above the most stable polymorph in this dataset: 27 meV per atom. As for the uncorrected formation energy: -0.1464 eV per atom. Its density of states at the Fermi level is 0.226 states/eV/atom.

Cell and atoms, written as POSCAR:
```
RbIn3Sb3
1.0
10.9011 0.0000 0.0000
-5.4506 9.4407 0.0000
0.0000 0.0000 5.3893
Rb In Sb
2 6 6
direct
0.3333 0.6667 0.2500
0.6667 0.3333 0.7500
0.0613 0.3952 0.7500
0.3339 0.9387 0.7500
0.3952 0.3339 0.2500
0.6048 0.6661 0.7500
0.6661 0.0613 0.2500
0.9387 0.6048 0.2500
0.0690 0.6719 0.7500
0.3281 0.3971 0.7500
0.3971 0.0690 0.2500
0.6029 0.9310 0.7500
0.6719 0.6029 0.2500
0.9310 0.3281 0.2500
```

***

> Number 1 is which compound?

RbIn4Sb3